# TaSi4Pt, relaxed, DFT PBE
# Fermi-level density of states in states/eV/cell: 9.5
# Uncorrected energy in eV/f.u.: -38.59
# Uncorrected formation energy in meV/atom: 167
data_TaSi4Pt
_chemical_formula_sum 'Ta4 Si16 Pt4'
_cell_length_a 6.994
_cell_length_b 6.994
_cell_length_c 6.994
_cell_angle_alpha 90.00
_cell_angle_beta 90.00
_cell_angle_gamma 90.00
_space_group_name_H-M_alt 'F -4 3 m'
_space_group_IT_number 216
_space_group_name_Hall 'F -4 2 3'
loop_
_atom_site_label
_atom_site_fract_x
_atom_site_fract_y
_atom_site_fract_z
Ta1 0.000 0.000 0.000
Si1 0.125 0.125 0.375
Pt1 0.250 0.250 0.750